Material: LiAcVO4
Method: DFT, PBE with a Hubbard U
State: relaxed

Geometry as POSCAR:
```
LiAcVO4
1.0
-2.1124 -1.2671 5.6021
1.8096 -5.7143 2.7325
3.6790 1.8386 5.1457
Li Ac O V
2 2 8 2
Cartesian
1.8395 0.9193 2.5729
0.7833 0.2858 5.3739
2.7443 -1.9378 3.9391
0.0000 0.0000 0.0000
2.4591 -0.2727 5.8235
3.3244 -2.6498 7.3394
0.9172 -4.8701 7.6568
1.3675 -0.9274 8.7184
0.0518 -2.4929 6.1409
2.0087 -4.2153 4.7619
3.0165 -3.5402 10.3646
0.3597 -1.6026 3.1158
2.8898 -0.9352 7.5634
0.4864 -4.2076 5.9169
```

Summary:
Uncorrected energy ... -100.5 eV/cell